(1)
Density functional theory data (PBE) for a relaxed Gd2S crystal.

Calculated values
Crystal system: tetragonal
Magnetization in μB/cell: 0.01
Raw total energy in eV per atom: -5.73

abc: 6.4861 6.4861 3.9432
angles: 90.00 90.00 90.00
Closest atoms and distances in Å follow each position.
Space group P4_2/mnm (No. 136)
Asymmetric unit:
Gd: 0.2060 0.2060 0.0000 (multiplicity 4)  3 S 2.70-2.73
S: 0.0000 0.0000 0.5000 (multiplicity 2)  6 Gd 2.70-2.73

=====

(2)
Density functional theory data (PBE) for a relaxed Li3Nb3Se2O12 crystal.

Calculated values
Crystal system: cubic
Magnetization in μB/cell: 16.02
Raw total energy in eV per atom: -6.75

abc: 11.7800 11.7800 11.7800
angles: 90.00 90.00 90.00
Closest atoms and distances in Å follow each position.
Space group Ia-3d (No. 230)
Asymmetric unit:
Li: 0.0000 0.2500 0.3750 (multiplicity 24)  4 O 1.83
Nb: 0.0000 0.2500 0.1250 (multiplicity 24)  8 O 2.18-2.22
Se: 0.0000 0.0000 0.0000 (multiplicity 16)  6 O 2.02
O: 0.0232 0.0686 0.6554 (multiplicity 96)  1 Li 1.83, 1 Se 2.02

=====

(3)
Density functional theory data (PBE) for a relaxed AcEr crystal.

Calculated values
Formation energy in eV per atom: 0.79
Crystal system: cubic
ΔE to the lowest computed polymorph in meV per atom: 675
Magnetization in μB/cell: 1.73
Raw total energy in eV per atom: -3.55

abc: 6.8963 6.8963 6.8963
angles: 90.00 90.00 90.00
Closest atoms and distances in Å follow each position.
Space group Fm-3m (No. 225)
Asymmetric unit:
Ac: 0.0000 0.0000 0.0000 (multiplicity 4)  6 Er 3.45
Er: 0.0000 0.0000 0.5000 (multiplicity 4)  6 Ac 3.45